A plane-wave DFT calculation with PBE was carried out for SbSe2Br after structural relaxation.

Raw total energy, eV for the cell shown: -12.161
E_form (uncorrected), eV/atom: 0.15
DOS(E_F), states/eV/f.u.: 1.65
Total moment, μB per formula unit: 0.00

Cell: 4.678 4.678 8.112 Å, 90.00 90.00 131.03°
Atoms (fractional coordinates):
Sb 0.500 0.500 0.750
Se 0.000 0.000 0.519
Br 0.500 0.500 0.250
Se 0.000 0.000 0.981

=====

A plane-wave DFT calculation with PBE was carried out for SbSeBr2 after structural relaxation.

Raw total energy, eV for the cell shown: -11.187
E_form (uncorrected), eV/atom: -0.06
DOS(E_F), states/eV/f.u.: 2.18
Total moment, μB per formula unit: 0.71

Cell: 7.846 7.846 4.725 Å, 80.14 80.14 27.82°
Atoms (fractional coordinates):
Sb 0.750 0.750 0.750
Se 0.250 0.250 0.250
Br 0.098 0.098 0.911
Br 0.402 0.402 0.589

=====

A plane-wave DFT calculation with PBE was carried out for SbSeBr2 after structural relaxation.

Raw total energy, eV for the cell shown: -11.459
E_form (uncorrected), eV/atom: -0.13
DOS(E_F), states/eV/f.u.: 1.03
Total moment, μB per formula unit: 0.00

Cell: 4.154 4.403 7.688 Å, 90.00 90.00 90.00°
Atoms (fractional coordinates):
Sb 0.000 0.000 0.606
Br 0.500 0.500 0.321
Se 0.500 0.500 0.634
Br 0.000 0.000 0.938

=====

A plane-wave DFT calculation with PBE was carried out for SbSeBr2 after structural relaxation.

Raw total energy, eV for the cell shown: -11.946
E_form (uncorrected), eV/atom: -0.25
DOS(E_F), states/eV/f.u.: 0.69
Total moment, μB per formula unit: 0.00

Cell: 4.035 5.831 6.127 Å, 58.56 90.00 90.00°
Atoms (fractional coordinates):
Sb 0.000 0.515 0.548
Se 0.500 0.692 0.732
Br 0.500 0.264 0.282
Br 0.000 0.029 0.938

=====

A plane-wave DFT calculation with PBE was carried out for SbSe2Br after structural relaxation.

Raw total energy, eV for the cell shown: -12.531
E_form (uncorrected), eV/atom: 0.06
DOS(E_F), states/eV/f.u.: 1.67
Total moment, μB per formula unit: 0.00

Cell: 6.240 6.240 5.329 Å, 81.07 81.07 34.12°
Atoms (fractional coordinates):
Se 0.561 0.561 0.356
Br 0.750 0.750 0.750
Sb 0.250 0.250 0.250
Se 0.939 0.939 0.144

=====

A plane-wave DFT calculation with PBE was carried out for SbSeBr4 after structural relaxation.

Raw total energy, eV for the cell shown: -9.511
E_form (uncorrected), eV/atom: 0.80
DOS(E_F), states/eV/f.u.: 7.52
Total moment, μB per formula unit: 0.71

Cell: 6.143 6.143 6.143 Å, 60.00 60.00 60.00°
Atoms (fractional coordinates):
Br 0.375 0.375 0.375
Br 0.375 0.375 0.875
Se 0.000 0.000 0.000
Br 0.375 0.875 0.375
Br 0.875 0.375 0.375
Sb 0.750 0.750 0.750

=====

A plane-wave DFT calculation with PBE was carried out for Sb3SeBr7 after structural relaxation.

Raw total energy, eV for the cell shown: -33.582
E_form (uncorrected), eV/atom: -0.55
DOS(E_F), states/eV/f.u.: 0.00
Total moment, μB per formula unit: 0.00

Cell: 7.079 8.207 8.207 Å, 120.00 90.00 90.00°
Atoms (fractional coordinates):
Sb 0.777 0.009 0.505
Br 0.012 0.171 0.342
Br 0.012 0.171 0.829
Sb 0.777 0.495 0.991
Br 0.036 0.667 0.333
Br 0.552 0.339 0.169
Se 0.555 0.333 0.667
Br 0.552 0.831 0.169
Br 0.012 0.658 0.829
Br 0.552 0.831 0.661
Sb 0.777 0.495 0.505

=====

A plane-wave DFT calculation with PBE was carried out for SbSeBr2 after structural relaxation.

Raw total energy, eV for the cell shown: -9.503
E_form (uncorrected), eV/atom: 0.36
DOS(E_F), states/eV/f.u.: 2.43
Total moment, μB per formula unit: 0.99

Cell: 5.214 5.214 5.214 Å, 60.00 60.00 60.00°
Atoms (fractional coordinates):
Sb 0.500 0.500 0.500
Br 0.750 0.750 0.750
Br 0.250 0.250 0.250
Se 0.000 0.000 0.000

=====

A plane-wave DFT calculation with PBE was carried out for SbSeBr2 after structural relaxation.

Raw total energy, eV for the cell shown: -9.496
E_form (uncorrected), eV/atom: 0.36
DOS(E_F), states/eV/f.u.: 3.20
Total moment, μB per formula unit: 0.00

Cell: 4.658 4.658 4.581 Å, 90.00 90.00 90.00°
Atoms (fractional coordinates):
Se 0.000 0.500 0.500
Sb 0.500 0.000 0.500
Br 0.000 0.000 0.000
Br 0.500 0.500 0.000

=====

A plane-wave DFT calculation with PBE was carried out for SbSe2Br after structural relaxation.

Raw total energy, eV for the cell shown: -12.075
E_form (uncorrected), eV/atom: 0.17
DOS(E_F), states/eV/f.u.: 2.48
Total moment, μB per formula unit: 0.00

Cell: 6.202 6.202 6.202 Å, 145.35 130.45 61.88°
Atoms (fractional coordinates):
Se 0.047 0.047 0.000
Br 0.750 0.250 0.500
Se 0.453 0.453 0.000
Sb 0.250 0.750 0.500

=====

A plane-wave DFT calculation with PBE was carried out for SbSeBr2 after structural relaxation.

Raw total energy, eV for the cell shown: -11.431
E_form (uncorrected), eV/atom: -0.12
DOS(E_F), states/eV/f.u.: 1.20
Total moment, μB per formula unit: 0.00

Cell: 7.382 7.382 7.382 Å, 148.31 142.30 50.04°
Atoms (fractional coordinates):
Se 0.282 0.782 0.500
Sb 0.416 0.416 0.000
Br 0.017 0.017 0.000
Br 0.785 0.285 0.500

=====

A plane-wave DFT calculation with PBE was carried out for SbSeBr2 after structural relaxation.

Raw total energy, eV for the cell shown: -47.745
E_form (uncorrected), eV/atom: -0.25
DOS(E_F), states/eV/f.u.: 1.79
Total moment, μB per formula unit: 0.00

Cell: 6.587 6.892 12.261 Å, 98.09 90.00 90.00°
Atoms (fractional coordinates):
Br 0.756 0.932 0.581
Br 0.744 0.432 0.081
Br 0.248 0.057 0.102
Sb 0.565 0.268 0.876
Se 0.801 0.451 0.754
Se 0.199 0.549 0.246
Sb 0.435 0.732 0.124
Br 0.256 0.568 0.919
Br 0.244 0.068 0.419
Sb 0.935 0.768 0.376
Br 0.748 0.443 0.398
Sb 0.065 0.232 0.624
Se 0.301 0.049 0.746
Se 0.699 0.951 0.254
Br 0.252 0.557 0.602
Br 0.752 0.943 0.898

=====

A plane-wave DFT calculation with PBE was carried out for SbSeBr2 after structural relaxation.

Raw total energy, eV for the cell shown: -9.759
E_form (uncorrected), eV/atom: 0.30
DOS(E_F), states/eV/f.u.: 2.83
Total moment, μB per formula unit: 0.00

Cell: 5.554 5.554 5.554 Å, 129.94 129.94 73.50°
Atoms (fractional coordinates):
Br 0.000 0.000 0.000
Br 0.500 0.500 0.000
Sb 0.250 0.750 0.500
Se 0.750 0.250 0.500

=====

A plane-wave DFT calculation with PBE was carried out for SbSe2Br after structural relaxation.

Raw total energy, eV for the cell shown: -13.084
E_form (uncorrected), eV/atom: -0.08
Total moment, μB per formula unit: 0.00

Cell: 5.463 3.850 8.302 Å, 58.29 90.00 90.00°
Atoms (fractional coordinates):
Sb 0.500 0.996 0.920
Se 0.500 0.208 0.176
Br 0.000 0.435 0.546
Se 0.000 0.860 0.858

=====

A plane-wave DFT calculation with PBE was carried out for Sb3SeBr7 after structural relaxation.

Raw total energy, eV for the cell shown: -33.616
E_form (uncorrected), eV/atom: -0.55
DOS(E_F), states/eV/f.u.: 0.00
Total moment, μB per formula unit: 0.00

Cell: 8.252 8.403 8.130 Å, 75.79 59.50 60.59°
Atoms (fractional coordinates):
Sb 0.076 0.732 0.603
Se 0.798 0.572 0.831
Br 0.289 0.589 0.833
Sb 0.058 0.252 0.632
Sb 0.589 0.732 0.603
Br 0.372 0.901 0.356
Br 0.790 0.108 0.845
Br 0.257 0.108 0.845
Br 0.837 0.445 0.373
Br 0.345 0.445 0.373
Br 0.864 0.897 0.375

=====

A plane-wave DFT calculation with PBE was carried out for SbSeBr2 after structural relaxation.

Raw total energy, eV for the cell shown: -11.652
E_form (uncorrected), eV/atom: -0.17
DOS(E_F), states/eV/f.u.: 3.42
Total moment, μB per formula unit: 0.65

Cell: 3.958 7.764 7.763 Å, 41.12 90.00 90.00°
Atoms (fractional coordinates):
Se 0.500 0.750 0.750
Sb 0.500 0.250 0.250
Br 0.000 0.389 0.389
Br 0.000 0.111 0.111

=====

A plane-wave DFT calculation with PBE was carried out for SbSe2Br after structural relaxation.

Raw total energy, eV for the cell shown: -13.684
E_form (uncorrected), eV/atom: -0.23
DOS(E_F), states/eV/f.u.: 0.83
Total moment, μB per formula unit: 0.00

Cell: 4.130 5.479 6.648 Å, 54.43 90.00 90.00°
Atoms (fractional coordinates):
Sb 0.500 0.750 0.750
Br 0.500 0.250 0.250
Se 0.000 0.513 0.594
Se 0.000 0.987 0.906

=====

A plane-wave DFT calculation with PBE was carried out for SbSe2Br after structural relaxation.

Raw total energy, eV for the cell shown: -11.043
E_form (uncorrected), eV/atom: 0.43
DOS(E_F), states/eV/f.u.: 3.01
Total moment, μB per formula unit: 0.00

Cell: 10.406 10.406 10.406 Å, 18.46 18.46 18.46°
Atoms (fractional coordinates):
Se 0.088 0.088 0.088
Se 0.912 0.912 0.912
Sb 0.000 0.000 0.000
Br 0.500 0.500 0.500

=====

A plane-wave DFT calculation with PBE was carried out for SbSe2Br after structural relaxation.

Raw total energy, eV for the cell shown: -11.459
E_form (uncorrected), eV/atom: 0.33
DOS(E_F), states/eV/f.u.: 3.79
Total moment, μB per formula unit: 0.00

Cell: 5.107 5.107 5.107 Å, 120.38 120.38 89.34°
Atoms (fractional coordinates):
Se 0.250 0.750 0.500
Se 0.000 0.000 0.000
Br 0.500 0.500 0.000
Sb 0.750 0.250 0.500

=====

A plane-wave DFT calculation with PBE was carried out for SbSe2Br after structural relaxation.

Raw total energy, eV for the cell shown: -11.557
E_form (uncorrected), eV/atom: 0.30
DOS(E_F), states/eV/f.u.: 2.27
Total moment, μB per formula unit: 0.00

Cell: 5.531 5.531 4.000 Å, 90.00 90.00 121.44°
Atoms (fractional coordinates):
Se 0.000 0.000 0.000
Se 0.500 0.500 0.000
Br 0.500 0.000 0.500
Sb 0.000 0.500 0.500

=====

| no. | mass density (kg/m³) |
| --- | --- |
| 1 | 4458 |
| 2 | 4481 |
| 3 | 4258 |
| 4 | 4868 |
| 5 | 5200 |
| 6 | 5271 |
| 7 | 4036 |
| 8 | 5974 |
| 9 | 6025 |
| 10 | 5845 |
| 11 | 4655 |
| 12 | 4345 |
| 13 | 6090 |
| 14 | 4019 |
| 15 | 3938 |
| 16 | 3817 |
| 17 | 4879 |
| 18 | 6051 |
| 19 | 6377 |
| 20 | 5720 |